Record 1
Below is a relaxed structure of Cs3TaRh, with properties calculated at the PBE level.

```
data_Cs3TaRh
_chemical_formula_sum 'Cs3 Ta1 Rh1'
_cell_length_a 6.092
_cell_length_b 6.092
_cell_length_c 6.092
_cell_angle_alpha 90.00
_cell_angle_beta 90.00
_cell_angle_gamma 90.00
_symmetry_space_group_name_H-M 'P m -3 m'
_symmetry_Int_Tables_number 221
_symmetry_space_group_name_Hall '-P 4 2 3'
loop_
_atom_site_label
_atom_site_type_symbol
_atom_site_fract_x
_atom_site_fract_y
_atom_site_fract_z
_atom_site_occupancy
Cs1 Cs 0.000 0.000 0.500 1
Ta1 Ta 0.500 0.500 0.500 1
Rh1 Rh 0.000 0.000 0.000 1
```

For the size of the total moment, the calculation gives 4.56 μB per cell. The value obtained for the calculated volume is 45.2 Å³ per atom. The formation energy is 1.59 eV/atom.



Record 2
Below is a relaxed structure of K3LiHf2Te6, with properties calculated at the PBE level.

```
data_K3LiHf2Te6
_chemical_formula_sum 'K6 Li2 Hf4 Te12'
_cell_length_a 7.487
_cell_length_b 12.989
_cell_length_c 8.525
_cell_angle_alpha 90.00
_cell_angle_beta 107.04
_cell_angle_gamma 90.00
_symmetry_space_group_name_H-M 'C 1 2/m 1'
_symmetry_Int_Tables_number 12
loop_
_symmetry_equiv_pos_as_xyz
'x,y,z'
'-x,-y,-z'
'-x,y,-z'
'x,-y,z'
'x+1/2,y+1/2,z'
'-x+1/2,-y+1/2,-z'
'-x+1/2,y+1/2,-z'
'x+1/2,-y+1/2,z'
loop_
_atom_site_label
_atom_site_type_symbol
_atom_site_fract_x
_atom_site_fract_y
_atom_site_fract_z
_atom_site_occupancy
K1 K 0.000 0.000 0.000 1
K2 K 0.000 0.339 0.000 1
Li1 Li 0.000 0.500 0.500 1
Hf1 Hf 0.000 0.168 0.500 1
Te1 Te 0.217 0.000 0.695 1
Te2 Te 0.241 0.325 0.698 1
```

For the size of the total moment, the calculation gives 0.00 μB per cell. The value obtained for the calculated volume is 33.0 Å³ per atom. The calculation puts the formation energy without anion corrections at -1125 kJ/mol of formula units.



Record 3
Below is a relaxed structure of SmZn8Ag4, with properties calculated at the PBE level.

```
data_SmZn8Ag4
_chemical_formula_sum 'Sm2 Zn16 Ag8'
_cell_length_a 9.148
_cell_length_b 9.148
_cell_length_c 5.437
_cell_angle_alpha 90.00
_cell_angle_beta 90.00
_cell_angle_gamma 90.00
_symmetry_space_group_name_H-M 'I 4/m m m'
_symmetry_Int_Tables_number 139
_symmetry_space_group_name_Hall '-I 4 2'
loop_
_atom_site_label
_atom_site_type_symbol
_atom_site_fract_x
_atom_site_fract_y
_atom_site_fract_z
_atom_site_occupancy
Sm1 Sm 0.000 0.000 0.000 1
Zn1 Zn 0.000 0.210 0.500 1
Zn2 Zn 0.000 0.355 0.000 1
Ag1 Ag 0.250 0.250 0.250 1
```

For the size of the total moment, the calculation gives 0.00 μB per cell. The value obtained for the calculated volume is 17.5 Å³ per atom. The formation energy is -0.11 eV/atom.



Record 4
Below is a relaxed structure of TmTc2GeC, with properties calculated at the PBE level.

```
data_TmTc2GeC
_chemical_formula_sum 'Tm4 Tc8 Ge4 C4'
_cell_length_a 3.869
_cell_length_b 11.040
_cell_length_c 7.456
_cell_angle_alpha 90.00
_cell_angle_beta 90.00
_cell_angle_gamma 90.00
_symmetry_space_group_name_H-M 'C m c m'
_symmetry_Int_Tables_number 63
_symmetry_space_group_name_Hall '-C 2c 2'
loop_
_atom_site_label
_atom_site_type_symbol
_atom_site_fract_x
_atom_site_fract_y
_atom_site_fract_z
_atom_site_occupancy
Tm1 Tm 0.000 0.041 0.250 1
Tc1 Tc 0.000 0.331 0.058 1
Ge1 Ge 0.000 0.236 0.750 1
C1 C 0.000 0.500 0.000 1
```

For the size of the total moment, the calculation gives 0.00 μB per cell. The value obtained for the calculated volume is 15.9 Å³ per atom. The formation energy is -0.37 eV/atom.



Record 5
Below is a relaxed structure of PaCdBi, with properties calculated at the PBE level.

```
data_PaCdBi
_chemical_formula_sum 'Pa2 Cd2 Bi2'
_cell_length_a 3.3187
_cell_length_b 3.3187
_cell_length_c 17.0910
_cell_angle_alpha 90.00
_cell_angle_beta 90.00
_cell_angle_gamma 120.00
_symmetry_space_group_name_H-M 'P -6 m 2'
_symmetry_Int_Tables_number 187
_symmetry_space_group_name_Hall 'P -6 2'
loop_
_atom_site_label
_atom_site_type_symbol
_atom_site_fract_x
_atom_site_fract_y
_atom_site_fract_z
_atom_site_occupancy
Pa1 Pa 0.0000 0.0000 0.0000 1
Pa2 Pa 0.3333 0.6667 0.5000 1
Cd1 Cd 0.0000 0.0000 0.3414 1
Bi1 Bi 0.3333 0.6667 0.1661 1
```

For the size of the total moment, the calculation gives 0.00 μB per cell. Its distance to the lowest polymorph of the same formula is 0.0 meV/atom. The value obtained for the calculated volume is 27.2 Å³ per atom. The formation energy is 0.07 eV/atom.



Record 6
Below is a relaxed structure of Pm2Y4MgSc, with properties calculated at the PBE level.

```
data_Pm2Y4MgSc
_chemical_formula_sum 'Pm2 Y4 Mg1 Sc1'
_cell_length_a 4.978
_cell_length_b 4.988
_cell_length_c 9.905
_cell_angle_alpha 90.00
_cell_angle_beta 90.00
_cell_angle_gamma 90.00
_symmetry_space_group_name_H-M 'P m m m'
_symmetry_Int_Tables_number 47
loop_
_symmetry_equiv_pos_as_xyz
'x,y,z'
'-x,-y,-z'
'-x,-y,z'
'x,y,-z'
'x,-y,-z'
'-x,y,z'
'-x,y,-z'
'x,-y,z'
loop_
_atom_site_label
_atom_site_type_symbol
_atom_site_fract_x
_atom_site_fract_y
_atom_site_fract_z
_atom_site_occupancy
Pm1 Pm 0.000 0.000 0.000 1
Pm2 Pm 0.500 0.500 0.500 1
Y1 Y 0.000 0.500 0.246 1
Y2 Y 0.500 0.000 0.247 1
Mg1 Mg 0.000 0.000 0.500 1
Sc1 Sc 0.500 0.500 0.000 1
```

For the size of the total moment, the calculation gives 0.00 μB per cell. The value obtained for the calculated volume is 30.7 Å³ per atom. The formation energy is 0.04 eV/atom.